1.
The following is a DFT calculation (GGA-PBE) of crystalline RbHfIn at its relaxed geometry.

Summary:
E above lowest polymorph = 194 meV per atom
ΔH_f (0 K) = 0.75 eV/f.u.

Structure (CIF):
```
data_RbHfIn
_cell_length_a 14.8120
_cell_length_b 3.3532
_cell_length_c 4.2426
_cell_angle_alpha 90.00
_cell_angle_beta 89.80
_cell_angle_gamma 90.00
_space_group_name_H-M_alt 'P 1'
_space_group_IT_number 1
loop_
_space_group_symop_operation_xyz
'x,y,z'
loop_
_atom_site_label
_atom_site_fract_x
_atom_site_fract_y
_atom_site_fract_z
Hf1 0.7089 0.5000 0.3793
Hf2 0.9107 0.5000 0.3769
In1 0.8027 0.0000 0.8783
In2 0.0166 0.0000 0.8757
Rb1 0.5041 0.0000 0.8822
Rb2 0.1935 0.5000 0.3738
```

=====

2.
The following is a DFT calculation (GGA-PBE) of crystalline Y3MgCu3 at its relaxed geometry.

Summary:
E above lowest polymorph = 130 meV per atom
ΔH_f (0 K) = -0.56 eV/f.u.

Structure (CIF):
```
data_Y3MgCu3
_cell_length_a 9.5052
_cell_length_b 9.5052
_cell_length_c 4.2346
_cell_angle_alpha 90.00
_cell_angle_beta 90.00
_cell_angle_gamma 120.00
_space_group_name_H-M_alt 'P 1'
_space_group_IT_number 1
loop_
_space_group_symop_operation_xyz
'x,y,z'
loop_
_atom_site_label
_atom_site_fract_x
_atom_site_fract_y
_atom_site_fract_z
Y1 0.3891 0.3106 0.7500
Y2 0.6894 0.0785 0.7500
Y3 0.0785 0.3891 0.2500
Y4 0.3106 0.9215 0.2500
Y5 0.9215 0.6109 0.7500
Y6 0.6109 0.6894 0.2500
Cu1 0.1663 0.1333 0.2500
Cu2 0.9670 0.8337 0.2500
Cu3 0.8337 0.8667 0.7500
Cu4 0.1333 0.9670 0.7500
Cu5 0.0330 0.1663 0.7500
Cu6 0.8667 0.0330 0.2500
Mg1 0.3333 0.6667 0.7500
Mg2 0.6667 0.3333 0.2500
```

=====

3.
The following is a DFT calculation (GGA-PBE) of crystalline SrPaZn2 at its relaxed geometry.

Summary:
ΔH_f (0 K) = 0.15 eV/f.u.

Structure (CIF):
```
data_SrPaZn2
_cell_length_a 3.5562
_cell_length_b 3.5562
_cell_length_c 7.8878
_cell_angle_alpha 90.00
_cell_angle_beta 90.00
_cell_angle_gamma 90.00
_space_group_name_H-M_alt 'P 1'
_space_group_IT_number 1
loop_
_space_group_symop_operation_xyz
'x,y,z'
loop_
_atom_site_label
_atom_site_fract_x
_atom_site_fract_y
_atom_site_fract_z
Sr1 0.5000 0.5000 0.5000
Zn1 0.0000 0.0000 0.7767
Zn2 0.0000 0.0000 0.2233
Pa1 0.5000 0.5000 0.0000
```

=====

4.
The following is a DFT calculation (GGA-PBE) of crystalline DyEr3In3Te8 at its relaxed geometry.

Structure (CIF):
```
data_DyEr3In3Te8
_cell_length_a 8.7253
_cell_length_b 8.7256
_cell_length_c 9.3561
_cell_angle_alpha 117.79
_cell_angle_beta 90.00
_cell_angle_gamma 120.00
_space_group_name_H-M_alt 'P 1'
_space_group_IT_number 1
loop_
_space_group_symop_operation_xyz
'x,y,z'
loop_
_atom_site_label
_atom_site_fract_x
_atom_site_fract_y
_atom_site_fract_z
Te1 0.2431 0.4861 0.7241
Te2 0.7378 0.9810 0.7234
Te3 0.2583 0.5167 0.2760
Te4 0.7417 0.4833 0.7240
Te5 0.2622 0.0190 0.2766
Te6 0.7569 0.5139 0.2759
Te7 0.2432 0.9810 0.7234
Te8 0.7568 0.0190 0.2766
Er1 0.5000 0.5000 0.5000
Er2 0.0000 0.5000 0.5000
Er3 0.5000 0.0000 0.5000
In1 0.0000 0.0000 0.0000
In2 0.5000 0.5000 0.0000
In3 0.0000 0.5000 0.0000
Dy1 0.0000 0.0000 0.5000
```

=====

5.
The following is a DFT calculation (GGA-PBE) of crystalline Li2YCd at its relaxed geometry.

Summary:
E above lowest polymorph = 15 meV per atom
ΔH_f (0 K) = -0.36 eV/f.u.

Structure (CIF):
```
data_Li2YCd
_cell_length_a 5.3137
_cell_length_b 5.3137
_cell_length_c 5.0580
_cell_angle_alpha 61.57
_cell_angle_beta 61.57
_cell_angle_gamma 47.06
_space_group_name_H-M_alt 'P 1'
_space_group_IT_number 1
loop_
_space_group_symop_operation_xyz
'x,y,z'
loop_
_atom_site_label
_atom_site_fract_x
_atom_site_fract_y
_atom_site_fract_z
Y1 0.5028 0.5028 0.4973
Li1 0.9924 0.9924 0.0081
Li2 0.2751 0.2751 0.2242
Cd1 0.7296 0.7296 0.7705
```

=====

6.
The following is a DFT calculation (GGA-PBE) of crystalline Mn4Cr2Se9 at its relaxed geometry.

Structure (CIF):
```
data_Mn4Cr2Se9
_cell_length_a 6.4528
_cell_length_b 6.4533
_cell_length_c 17.2809
_cell_angle_alpha 90.01
_cell_angle_beta 90.02
_cell_angle_gamma 60.01
_space_group_name_H-M_alt 'P 1'
_space_group_IT_number 1
loop_
_space_group_symop_operation_xyz
'x,y,z'
loop_
_atom_site_label
_atom_site_fract_x
_atom_site_fract_y
_atom_site_fract_z
Mn1 0.6657 0.6670 0.3216
Mn2 0.6660 0.6669 0.5089
Mn3 0.6669 0.6666 0.0094
Mn4 0.3322 0.3336 0.1788
Mn5 0.3331 0.3334 0.9906
Mn6 0.6678 0.6664 0.8212
Mn7 0.3343 0.3330 0.6784
Mn8 0.3340 0.3331 0.4911
Se1 0.0184 0.6455 0.5840
Se2 0.6921 0.3085 0.2497
Se3 0.6643 0.3546 0.9157
Se4 0.3545 0.9820 0.9157
Se5 0.3370 0.0166 0.5844
Se6 0.3073 0.9997 0.2499
Se7 0.9816 0.3545 0.4160
Se8 0.6630 0.9834 0.4156
Se9 0.6927 0.0003 0.7501
Se10 0.0016 0.3071 0.7498
Se11 0.9984 0.6929 0.2502
Se12 0.6455 0.0180 0.0843
Se13 0.3528 0.6648 0.4156
Se14 0.0183 0.3346 0.0841
Se15 0.3079 0.6915 0.7503
Se16 0.9817 0.6654 0.9159
Se17 0.6472 0.3352 0.5844
Se18 0.3357 0.6454 0.0843
Cr1 0.9997 0.9991 0.1549
Cr2 0.9989 0.0014 0.3449
Cr3 0.0003 0.0009 0.8451
Cr4 0.0011 0.9986 0.6551
```

=====

Number 1: E -25.81 eV per cell. Number 2: E -67.67 eV per cell. Number 3: E -13.58 eV per cell. Number 4: E -66.59 eV per cell. Number 5: E -11.57 eV per cell. Number 6: E -188.14 eV per cell.